The following is a DFT calculation (PBE) of a relaxed LaTh3Sb4 crystal.

Unit cell a=4.5206 b=7.8532 c=7.8532 alpha=109.31 beta=90.00 gamma=90.00
Fractional coordinates of all 8 atoms:
Sb (0.0000, 0.7464, 0.7464)
Sb (0.5000, 0.2516, 0.7484)
Sb (0.5000, 0.7484, 0.2516)
Sb (0.0000, 0.2536, 0.2536)
La (0.5000, 0.0000, 0.0000)
Th (0.0000, 0.0000, 0.5000)
Th (0.0000, 0.5000, 0.0000)
Th (0.5000, 0.5000, 0.5000)

Computed properties:
The density is 8.34 Mg/m³. As for the formation energy (no corrections): -1.0065 eV per atom. The space group is No. 65. As for the raw total energy: -6.47 eV per atom. As for the crystal system: orthorhombic.